Entry from Alexandria: crystalline Zr2Fe2F3 at its relaxed geometry (PBE with a Hubbard U).

Results
- ΔE to the lowest computed polymorph (meV per atom) = 0
- total moment (Bohr magnetons per cell) = 25.78
- DOS(E_F) (states/eV/f.u.) = 1.74

Cell: 9.941 7.504 6.218 Å, 90.00 90.54 90.00°
Space group Cm (No. 8)
One atom of each set of equivalent atoms:
Zr (0.000, 0.000, 0.000) x2
Zr (0.070, 0.183, 0.501) x4
Zr (0.385, 0.000, 0.599) x2
Fe (0.050, 0.500, 0.260) x2
Fe (0.291, 0.500, 0.545) x2
Fe (0.332, 0.235, 0.264) x4
F (0.149, 0.182, 0.136) x4
F (0.187, 0.000, 0.785) x2
F (0.298, 0.500, 0.884) x2
F (0.488, 0.222, 0.818) x4